TlNi | PBEsol | relaxed

Computed properties:
Uncorrected energy: -16.3 eV per cell
Energy of formation: 315 meV per atom

Lattice parameters (Å, degrees): 6.1879 6.1879 6.1879 36.89 36.89 36.89
Fractional coordinates of all 4 atoms:
Tl1 0.0991 0.0991 0.0991
Tl2 0.9009 0.9009 0.9009
Ni1 0.3347 0.3347 0.3347
Ni2 0.6653 0.6653 0.6653



TlNi2W | PBEsol | relaxed

Computed properties:
Uncorrected energy: -26.0 eV per cell
Energy of formation: 677 meV per atom

Lattice parameters (Å, degrees): 4.3423 4.3423 4.3423 60.00 60.00 60.00
Fractional coordinates of all 4 atoms:
Tl1 0.0000 0.0000 0.0000
Ni1 0.5000 0.5000 0.5000
Ni2 0.7500 0.7500 0.7500
W1 0.2500 0.2500 0.2500



TlZnNi2 | PBEsol | relaxed

Computed properties:
Energy above the lowest structure with this stoichiometry: 32 kJ/mol of formula units
Uncorrected energy: -15.9 eV per cell
Energy of formation: 158 meV per atom

Lattice parameters (Å, degrees): 3.0478 3.0478 6.2048 90.00 90.00 90.00
Fractional coordinates of all 4 atoms:
Tl1 0.0000 0.0000 0.0000
Zn1 0.5000 0.5000 0.3465
Ni1 0.0000 0.0000 0.5301
Ni2 0.5000 0.5000 0.7405



TlZn2Ni | PBEsol | relaxed

Computed properties:
Energy above the lowest structure with this stoichiometry: 0 kJ/mol of formula units
Uncorrected energy: -11.3 eV per cell
Energy of formation: 155 meV per atom

Lattice parameters (Å, degrees): 4.7952 4.7952 4.7952 131.53 131.53 70.98
Fractional coordinates of all 4 atoms:
Tl1 0.0000 0.0000 0.0000
Zn1 0.5000 0.5000 0.0000
Zn2 0.7500 0.2500 0.5000
Ni1 0.2500 0.7500 0.5000



TlZnNi2 | PBEsol | relaxed

Computed properties:
Energy above the lowest structure with this stoichiometry: 0 kJ/mol of formula units
Uncorrected energy: -16.2 eV per cell
Energy of formation: 75 meV per atom

Lattice parameters (Å, degrees): 3.9800 3.9800 3.4703 90.00 90.00 90.00
Fractional coordinates of all 4 atoms:
Tl1 0.0000 0.0000 0.0000
Zn1 0.5000 0.5000 0.0000
Ni1 0.0000 0.5000 0.5000
Ni2 0.5000 0.0000 0.5000



TlZn3Ni | PBEsol | relaxed

Computed properties:
Uncorrected energy: -12.6 eV per cell
Energy of formation: 180 meV per atom

Lattice parameters (Å, degrees): 4.5707 4.5707 4.5707 90.00 90.00 90.00
Fractional coordinates of all 5 atoms:
Tl1 0.0000 0.0000 0.0000
Zn1 0.0000 0.5000 0.5000
Zn2 0.5000 0.0000 0.5000
Zn3 0.5000 0.5000 0.0000
Ni1 0.5000 0.5000 0.5000



TlZn2Ni | PBEsol | relaxed

Computed properties:
Energy above the lowest structure with this stoichiometry: 7 kJ/mol of formula units
Uncorrected energy: -11.3 eV per cell
Energy of formation: 172 meV per atom

Lattice parameters (Å, degrees): 3.8691 3.8691 4.0423 90.00 90.00 90.00
Fractional coordinates of all 4 atoms:
Tl1 0.0000 0.0000 0.0000
Zn1 0.0000 0.5000 0.5000
Zn2 0.5000 0.0000 0.5000
Ni1 0.5000 0.5000 0.0000



ZrTl2ZnNi | PBEsol | relaxed

Computed properties:
Uncorrected energy: -18.8 eV per cell
Energy of formation: 652 meV per atom

Lattice parameters (Å, degrees): 4.9456 4.9456 4.3707 90.00 90.00 90.00
Fractional coordinates of all 5 atoms:
Zr1 0.0000 0.0000 0.0000
Tl1 0.0000 0.5000 0.5000
Tl2 0.5000 0.0000 0.5000
Zn1 0.5000 0.5000 0.5000
Ni1 0.5000 0.5000 0.0000



TmNi3 | PBEsol | relaxed

Computed properties:
Uncorrected energy: -74.2 eV per cell
Energy of formation: -343 meV per atom

Lattice parameters (Å, degrees): 7.0666 7.0666 7.0666 44.83 44.83 44.83
Fractional coordinates of all 12 atoms:
Tm1 0.0000 0.0000 0.0000
Tm2 0.2184 0.2184 0.2184
Tm3 0.7816 0.7816 0.7816
Ni1 0.0000 0.5000 0.5000
Ni2 0.2611 0.7052 0.7052
Ni3 0.2948 0.2948 0.7389
Ni4 0.2948 0.7389 0.2948
Ni5 0.5000 0.0000 0.5000
Ni6 0.5000 0.5000 0.0000
Ni7 0.7052 0.2611 0.7052
Ni8 0.7052 0.7052 0.2611
Ni9 0.7389 0.2948 0.2948



TmNi2 | PBEsol | relaxed

Computed properties:
Uncorrected energy: -37.5 eV per cell
Energy of formation: -520 meV per atom

Lattice parameters (Å, degrees): 4.9350 4.9350 4.9350 60.00 60.00 60.00
Fractional coordinates of all 6 atoms:
Tm1 0.1250 0.1250 0.1250
Tm2 0.8750 0.8750 0.8750
Ni1 0.0000 0.5000 0.5000
Ni2 0.5000 0.0000 0.5000
Ni3 0.5000 0.5000 0.0000
Ni4 0.5000 0.5000 0.5000



Tm2Ni17 | PBEsol | relaxed

Computed properties:
Uncorrected energy: -236.9 eV per cell
Energy of formation: -209 meV per atom

Lattice parameters (Å, degrees): 8.1248 8.1248 7.8669 90.00 90.00 120.00
Fractional coordinates of all 38 atoms:
Tm1 0.0000 0.0000 0.2500
Tm2 0.0000 0.0000 0.7500
Tm3 0.3333 0.6667 0.2500
Tm4 0.6667 0.3333 0.7500
Ni1 0.0000 0.5000 0.0000
Ni2 0.0000 0.5000 0.5000
Ni3 0.0423 0.3698 0.7500
Ni4 0.0423 0.6725 0.7500
Ni5 0.1653 0.3306 0.0221
Ni6 0.1653 0.3306 0.4779
Ni7 0.1653 0.8347 0.0221
Ni8 0.1653 0.8347 0.4779
Ni9 0.3275 0.3698 0.7500
Ni10 0.3275 0.9577 0.7500
Ni11 0.3306 0.1653 0.5221
Ni12 0.3306 0.1653 0.9779
Ni13 0.3333 0.6667 0.6010
Ni14 0.3333 0.6667 0.8990
Ni15 0.3698 0.0423 0.2500
Ni16 0.3698 0.3275 0.2500
Ni17 0.5000 0.0000 0.0000
Ni18 0.5000 0.0000 0.5000
Ni19 0.5000 0.5000 0.0000
Ni20 0.5000 0.5000 0.5000
Ni21 0.6302 0.6725 0.7500
Ni22 0.6302 0.9577 0.7500
Ni23 0.6667 0.3333 0.1010
Ni24 0.6667 0.3333 0.3990
Ni25 0.6694 0.8347 0.0221
Ni26 0.6694 0.8347 0.4779
Ni27 0.6725 0.0423 0.2500
Ni28 0.6725 0.6302 0.2500
Ni29 0.8347 0.1653 0.5221
Ni30 0.8347 0.1653 0.9779
Ni31 0.8347 0.6694 0.5221
Ni32 0.8347 0.6694 0.9779
Ni33 0.9577 0.3275 0.2500
Ni34 0.9577 0.6302 0.2500



UNi5 | PBEsol | relaxed

Computed properties:
Uncorrected energy: -44.5 eV per cell
Energy of formation: -258 meV per atom

Lattice parameters (Å, degrees): 4.7111 4.7111 4.7111 60.00 60.00 60.00
Fractional coordinates of all 6 atoms:
U1 0.0000 0.0000 0.0000
Ni1 0.3758 0.3758 0.3758
Ni2 0.3758 0.3758 0.8725
Ni3 0.3758 0.8725 0.3758
Ni4 0.7500 0.7500 0.7500
Ni5 0.8725 0.3758 0.3758



UZnNi4 | PBEsol | relaxed

Computed properties:
Uncorrected energy: -40.0 eV per cell
Energy of formation: -273 meV per atom

Lattice parameters (Å, degrees): 4.7781 4.7781 4.7781 60.00 60.00 60.00
Fractional coordinates of all 6 atoms:
U1 0.0000 0.0000 0.0000
Zn1 0.2500 0.2500 0.2500
Ni1 0.1287 0.6238 0.6238
Ni2 0.6238 0.1287 0.6238
Ni3 0.6238 0.6238 0.1287
Ni4 0.6238 0.6238 0.6238



VNi2 | PBEsol | relaxed

Computed properties:
Uncorrected energy: -22.7 eV per cell
Energy of formation: -264 meV per atom

Lattice parameters (Å, degrees): 4.3247 4.3247 4.3247 146.47 132.02 59.80
Fractional coordinates of all 3 atoms:
V1 0.0000 0.0000 0.0000
Ni1 0.3321 0.3321 0.0000
Ni2 0.6679 0.6679 0.0000



V3Ni2 | PBEsol | relaxed

Computed properties:
Uncorrected energy: -253.5 eV per cell
Energy of formation: -207 meV per atom

Lattice parameters (Å, degrees): 8.7806 4.5207 8.8753 90.00 90.40 90.00
Fractional coordinates of all 30 atoms:
V1 0.0361 0.0000 0.1258
V2 0.1099 0.0000 0.3928
V3 0.1257 0.5000 0.9640
V4 0.1828 0.2469 0.6790
V5 0.1828 0.7531 0.6790
V6 0.3234 0.2536 0.1824
V7 0.3234 0.7464 0.1824
V8 0.3777 0.0000 0.4652
V9 0.3914 0.5000 0.8966
V10 0.6086 0.5000 0.1034
V11 0.6223 0.0000 0.5348
V12 0.6766 0.2536 0.8176
V13 0.6766 0.7464 0.8176
V14 0.8172 0.2469 0.3210
V15 0.8172 0.7531 0.3210
V16 0.8743 0.5000 0.0360
V17 0.8901 0.0000 0.6072
V18 0.9639 0.0000 0.8742
Ni1 0.0000 0.5000 0.5000
Ni2 0.0675 0.5000 0.2424
Ni3 0.2408 0.0000 0.9344
Ni4 0.2619 0.5000 0.4342
Ni5 0.4317 0.0000 0.7420
Ni6 0.4631 0.5000 0.6314
Ni7 0.5000 0.0000 0.0000
Ni8 0.5369 0.5000 0.3686
Ni9 0.5683 0.0000 0.2580
Ni10 0.7381 0.5000 0.5658
Ni11 0.7592 0.0000 0.0656
Ni12 0.9325 0.5000 0.7576



V3Ni | PBEsol | relaxed

Computed properties:
Uncorrected energy: -71.5 eV per cell
Energy of formation: -170 meV per atom

Lattice parameters (Å, degrees): 4.6062 4.6062 4.6062 90.00 90.00 90.00
Fractional coordinates of all 8 atoms:
V1 0.0000 0.2500 0.5000
V2 0.0000 0.7500 0.5000
V3 0.2500 0.5000 0.0000
V4 0.5000 0.0000 0.2500
V5 0.5000 0.0000 0.7500
V6 0.7500 0.5000 0.0000
Ni1 0.0000 0.0000 0.0000
Ni2 0.5000 0.5000 0.5000



Ni2W | PBEsol | relaxed

Computed properties:
Uncorrected energy: -209.7 eV per cell
Energy of formation: -31 meV per atom

Lattice parameters (Å, degrees): 4.6417 4.6417 15.2050 90.00 90.00 120.00
Fractional coordinates of all 24 atoms:
Ni1 0.0000 0.5000 0.0000
Ni2 0.0000 0.5000 0.5000
Ni3 0.1642 0.3283 0.2500
Ni4 0.1642 0.8358 0.2500
Ni5 0.3283 0.1642 0.7500
Ni6 0.3333 0.6667 0.1243
Ni7 0.3333 0.6667 0.3757
Ni8 0.5000 0.0000 0.0000
Ni9 0.5000 0.0000 0.5000
Ni10 0.5000 0.5000 0.0000
Ni11 0.5000 0.5000 0.5000
Ni12 0.6667 0.3333 0.6243
Ni13 0.6667 0.3333 0.8757
Ni14 0.6717 0.8358 0.2500
Ni15 0.8358 0.1642 0.7500
Ni16 0.8358 0.6717 0.7500
W1 0.0000 0.0000 0.0961
W2 0.0000 0.0000 0.4039
W3 0.0000 0.0000 0.5961
W4 0.0000 0.0000 0.9039
W5 0.3333 0.6667 0.6565
W6 0.3333 0.6667 0.8435
W7 0.6667 0.3333 0.1565
W8 0.6667 0.3333 0.3435



NiW2 | PBEsol | relaxed

Computed properties:
Energy above the lowest structure with this stoichiometry: 0 kJ/mol of formula units
Uncorrected energy: -33.1 eV per cell
Energy of formation: 236 meV per atom

Lattice parameters (Å, degrees): 4.3754 4.3754 2.5665 90.00 90.00 120.00
Fractional coordinates of all 3 atoms:
Ni1 0.0000 0.0000 0.0000
W1 0.3333 0.6667 0.6814
W2 0.6667 0.3333 0.3186



Ni2W | PBEsol | relaxed

Computed properties:
Uncorrected energy: -23.9 eV per cell
Energy of formation: 753 meV per atom

Lattice parameters (Å, degrees): 3.9520 3.9520 3.9520 60.00 60.00 60.00
Fractional coordinates of all 3 atoms:
Ni1 0.2500 0.2500 0.2500
Ni2 0.7500 0.7500 0.7500
W1 0.0000 0.0000 0.0000



NiW3 | PBEsol | relaxed

Computed properties:
Uncorrected energy: -46.5 eV per cell
Energy of formation: 274 meV per atom

Lattice parameters (Å, degrees): 5.3078 5.3078 5.3078 151.28 63.36 124.85
Fractional coordinates of all 4 atoms:
Ni1 0.0000 0.0000 0.0000
W1 0.4163 0.6733 0.7430
W2 0.4955 0.9955 0.5000
W3 0.9303 0.6733 0.2570



NiW2 | PBEsol | relaxed

Computed properties:
Energy above the lowest structure with this stoichiometry: 12 kJ/mol of formula units
Uncorrected energy: -32.9 eV per cell
Energy of formation: 276 meV per atom

Lattice parameters (Å, degrees): 4.7307 4.7307 4.7307 140.53 140.53 57.05
Fractional coordinates of all 3 atoms:
Ni1 0.0000 0.0000 0.0000
W1 0.3351 0.3351 0.0000
W2 0.6649 0.6649 0.0000



Ni7W | PBEsol | relaxed

Computed properties:
Uncorrected energy: -56.9 eV per cell
Energy of formation: 0 meV per atom

Lattice parameters (Å, degrees): 4.9893 4.9893 4.9893 60.00 60.00 60.00
Fractional coordinates of all 8 atoms:
Ni1 0.0000 0.0000 0.0000
Ni2 0.0000 0.0000 0.5000
Ni3 0.0000 0.5000 0.0000
Ni4 0.0000 0.5000 0.5000
Ni5 0.5000 0.0000 0.0000
Ni6 0.5000 0.0000 0.5000
Ni7 0.5000 0.5000 0.0000
W1 0.5000 0.5000 0.5000



Ni2W | PBEsol | relaxed

Computed properties:
Uncorrected energy: -52.5 eV per cell
Energy of formation: -36 meV per atom

Lattice parameters (Å, degrees): 4.6458 4.6458 4.6458 60.00 60.00 60.00
Fractional coordinates of all 6 atoms:
Ni1 0.0000 0.0000 0.0000
Ni2 0.0000 0.0000 0.5000
Ni3 0.0000 0.5000 0.0000
Ni4 0.5000 0.0000 0.0000
W1 0.3750 0.3750 0.3750
W2 0.6250 0.6250 0.6250



Ni2W | PBEsol | relaxed

Computed properties:
Uncorrected energy: -26.3 eV per cell
Energy of formation: -72 meV per atom

Lattice parameters (Å, degrees): 4.0477 4.0477 2.5309 90.00 90.00 120.00
Fractional coordinates of all 3 atoms:
Ni1 0.3333 0.6667 0.0000
Ni2 0.6667 0.3333 0.0000
W1 0.0000 0.0000 0.5000